1.
Here is a relaxed KRePbO5 crystal from the Alexandria database. Energies are from PBE-GGA.

Results
formation energy from raw total energies = -34.0 kcal/mol of atoms
calculated volume = 334.4 Å³/cell
DOS(E_F) = 2.44 states/eV/f.u.

The structure in CIF format:
```
data_KRePbO5
_symmetry_space_group_name_H-M 'P 1'
_symmetry_Int_Tables_number 1
_cell_length_a 6.6658
_cell_length_b 6.6658
_cell_length_c 8.4025
_cell_angle_alpha 102.04
_cell_angle_beta 102.04
_cell_angle_gamma 106.97
loop_
_symmetry_equiv_pos_as_xyz
'x,y,z'
loop_
_atom_site_label
_atom_site_type_symbol
_atom_site_fract_x
_atom_site_fract_y
_atom_site_fract_z
_atom_site_occupancy
K1 K 0.3152 0.6848 0.2500 1
K2 K 0.6848 0.3152 0.7500 1
Re1 Re 0.6709 0.3291 0.2500 1
Re2 Re 0.3291 0.6709 0.7500 1
Pb1 Pb 0.0000 0.0000 0.5000 1
Pb2 Pb 0.0000 0.0000 0.0000 1
O1 O 0.0711 0.9289 0.2500 1
O2 O 0.9289 0.0711 0.7500 1
O3 O 0.8827 0.3446 0.1502 1
O4 O 0.1173 0.6554 0.8498 1
O5 O 0.6554 0.1173 0.3498 1
O6 O 0.3446 0.8827 0.6502 1
O7 O 0.7216 0.5748 0.4078 1
O8 O 0.2784 0.4252 0.5922 1
O9 O 0.4252 0.2784 0.0922 1
O10 O 0.5748 0.7216 0.9078 1
```

---

2.
Here is a relaxed Ca2Hg2OsO6 crystal from the Alexandria database. Energies are from PBE-GGA.

Results
formation energy from raw total energies = -33.9 kcal/mol of atoms
calculated volume = 200.0 Å³/cell
DOS(E_F) = 2.92 states/eV/f.u.

The structure in CIF format:
```
data_Ca2Hg2OsO6
_symmetry_space_group_name_H-M 'P 1'
_symmetry_Int_Tables_number 1
_cell_length_a 5.7437
_cell_length_b 5.7437
_cell_length_c 7.1157
_cell_angle_alpha 94.88
_cell_angle_beta 94.88
_cell_angle_gamma 120.14
loop_
_symmetry_equiv_pos_as_xyz
'x,y,z'
loop_
_atom_site_label
_atom_site_type_symbol
_atom_site_fract_x
_atom_site_fract_y
_atom_site_fract_z
_atom_site_occupancy
Ca1 Ca 0.3347 0.6653 0.5000 1
Ca2 Ca 0.6653 0.3347 0.5000 1
Hg1 Hg 0.8409 0.1591 0.0000 1
Hg2 Hg 0.1591 0.8409 0.0000 1
Os1 Os 0.0000 0.0000 0.5000 1
O1 O 0.7549 0.7549 0.6541 1
O2 O 0.0306 0.3060 0.6504 1
O3 O 0.2451 0.2451 0.3459 1
O4 O 0.3060 0.0306 0.6504 1
O5 O 0.9694 0.6940 0.3496 1
O6 O 0.6940 0.9694 0.3496 1
```

---

3.
Here is a relaxed MgRe2P crystal from the Alexandria database. Energies are from PBE-GGA.

Results
energy relative to the lowest polymorph listed for this composition = 0 meV/atom
calculated volume = 60.5 Å³/cell
DFT formation energy = -0.014 eV per atom
DOS(E_F) = 0.94 states/eV/f.u.

The structure in CIF format:
```
data_MgRe2P
_symmetry_space_group_name_H-M 'P 1'
_symmetry_Int_Tables_number 1
_cell_length_a 3.0181
_cell_length_b 3.0181
_cell_length_c 6.6383
_cell_angle_alpha 90.00
_cell_angle_beta 90.00
_cell_angle_gamma 90.00
loop_
_symmetry_equiv_pos_as_xyz
'x,y,z'
loop_
_atom_site_label
_atom_site_type_symbol
_atom_site_fract_x
_atom_site_fract_y
_atom_site_fract_z
_atom_site_occupancy
Mg1 Mg 0.0000 0.0000 0.5094 1
P1 P 0.5000 0.5000 0.7873 1
Re1 Re 0.0000 0.0000 0.9727 1
Re2 Re 0.5000 0.5000 0.2305 1
```

---

4.
Here is a relaxed Mg2Be3P3H13O19 crystal from the Alexandria database. Energies are from PBE-GGA.

Results
uncorrected energy = -6.06 eV per atom
calculated volume = 711.3 Å³/cell
DOS(E_F) = 0.00 states/eV/f.u.

The structure in CIF format:
```
data_Mg2Be3P3H13O19
_symmetry_space_group_name_H-M 'P 1'
_symmetry_Int_Tables_number 1
_cell_length_a 8.1766
_cell_length_b 10.0225
_cell_length_c 10.0225
_cell_angle_alpha 120.00
_cell_angle_beta 90.00
_cell_angle_gamma 90.00
loop_
_symmetry_equiv_pos_as_xyz
'x,y,z'
loop_
_atom_site_label
_atom_site_type_symbol
_atom_site_fract_x
_atom_site_fract_y
_atom_site_fract_z
_atom_site_occupancy
Mg1 Mg 0.0428 0.6667 0.3333 1
Mg2 Mg 0.5428 0.3333 0.6667 1
Mg3 Mg 0.4006 0.6667 0.3333 1
Mg4 Mg 0.9006 0.3333 0.6667 1
Be1 Be 0.5757 0.1959 0.0783 1
Be2 Be 0.5757 0.8824 0.8041 1
Be3 Be 0.5757 0.9217 0.1176 1
Be4 Be 0.0757 0.8041 0.9217 1
Be5 Be 0.0757 0.1176 0.1959 1
Be6 Be 0.0757 0.0783 0.8824 1
P1 P 0.2515 0.3154 0.1246 1
P2 P 0.2515 0.8092 0.6846 1
P3 P 0.2515 0.8754 0.1908 1
P4 P 0.7515 0.6846 0.8754 1
P5 P 0.7515 0.1908 0.3154 1
P6 P 0.7515 0.1246 0.8092 1
H1 H 0.4029 0.0000 0.0000 1
H2 H 0.9029 0.0000 0.0000 1
H3 H 0.8855 0.3983 0.1163 1
H4 H 0.8855 0.7180 0.6017 1
H5 H 0.8855 0.8837 0.2820 1
H6 H 0.3855 0.6017 0.8837 1
H7 H 0.3855 0.2820 0.3983 1
H8 H 0.3855 0.1163 0.7180 1
H9 H 0.7681 0.5378 0.1600 1
H10 H 0.7681 0.6222 0.4622 1
H11 H 0.7681 0.8400 0.3778 1
H12 H 0.2681 0.4622 0.8400 1
H13 H 0.2681 0.3778 0.5378 1
H14 H 0.2681 0.1600 0.6222 1
H15 H 0.5713 0.4550 0.3766 1
H16 H 0.5713 0.9216 0.5450 1
H17 H 0.5713 0.6234 0.0784 1
H18 H 0.0713 0.5450 0.6234 1
H19 H 0.0713 0.0784 0.4550 1
H20 H 0.0713 0.3766 0.9216 1
H21 H 0.5143 0.6079 0.5356 1
H22 H 0.5143 0.9278 0.3921 1
H23 H 0.5143 0.4644 0.0722 1
H24 H 0.0143 0.3921 0.4644 1
H25 H 0.0143 0.0722 0.6079 1
H26 H 0.0143 0.5356 0.9278 1
O1 O 0.2338 0.2152 0.2017 1
O2 O 0.2338 0.9865 0.7848 1
O3 O 0.2338 0.7983 0.0135 1
O4 O 0.7338 0.7848 0.7983 1
O5 O 0.7338 0.0135 0.2152 1
O6 O 0.7338 0.2017 0.9865 1
O7 O 0.4277 0.2911 0.0582 1
O8 O 0.4277 0.7671 0.7089 1
O9 O 0.4277 0.9418 0.2329 1
O10 O 0.9277 0.7089 0.9418 1
O11 O 0.9277 0.2329 0.2911 1
O12 O 0.9277 0.0582 0.7671 1
O13 O 0.1215 0.2600 0.9935 1
O14 O 0.1215 0.7334 0.7400 1
O15 O 0.1215 0.0065 0.2666 1
O16 O 0.6215 0.7400 0.0065 1
O17 O 0.6215 0.2666 0.2600 1
O18 O 0.6215 0.9935 0.7334 1
O19 O 0.2256 0.4884 0.2386 1
O20 O 0.2256 0.7502 0.5116 1
O21 O 0.2256 0.7614 0.2498 1
O22 O 0.7256 0.5116 0.7614 1
O23 O 0.7256 0.2498 0.4884 1
O24 O 0.7256 0.2386 0.7502 1
O25 O 0.8842 0.5109 0.1636 1
O26 O 0.8842 0.6527 0.4891 1
O27 O 0.8842 0.8364 0.3473 1
O28 O 0.3842 0.4891 0.8364 1
O29 O 0.3842 0.3473 0.5109 1
O30 O 0.3842 0.1636 0.6527 1
O31 O 0.5571 0.8601 0.4303 1
O32 O 0.5571 0.5702 0.1399 1
O33 O 0.5571 0.5697 0.4298 1
O34 O 0.0571 0.1399 0.5697 1
O35 O 0.0571 0.4298 0.8601 1
O36 O 0.0571 0.4303 0.5702 1
O37 O 0.5228 0.0000 0.0000 1
O38 O 0.0228 0.0000 0.0000 1
```

---

5.
Here is a relaxed Mg2ZrCd crystal from the Alexandria database. Energies are from PBE-GGA.

Results
calculated volume = 86.2 Å³/cell
DFT formation energy = -0.066 eV per atom
DOS(E_F) = 3.51 states/eV/f.u.

The structure in CIF format:
```
data_Mg2ZrCd
_symmetry_space_group_name_H-M 'P 1'
_symmetry_Int_Tables_number 1
_cell_length_a 4.4094
_cell_length_b 4.3617
_cell_length_c 4.4828
_cell_angle_alpha 90.00
_cell_angle_beta 90.00
_cell_angle_gamma 90.00
loop_
_symmetry_equiv_pos_as_xyz
'x,y,z'
loop_
_atom_site_label
_atom_site_type_symbol
_atom_site_fract_x
_atom_site_fract_y
_atom_site_fract_z
_atom_site_occupancy
Mg1 Mg 0.0000 0.0000 0.0000 1
Mg2 Mg 0.5000 0.5000 0.0000 1
Zr1 Zr 0.5000 0.0000 0.5000 1
Cd1 Cd 0.0000 0.5000 0.5000 1
```

---

6.
Here is a relaxed CaCr2CoTc crystal from the Alexandria database. Energies are from PBE-GGA.

Results
calculated volume = 96.5 Å³/cell
DFT formation energy = 0.887 eV per atom
DOS(E_F) = 8.55 states/eV/f.u.

The structure in CIF format:
```
data_CaCr2CoTc
_symmetry_space_group_name_H-M 'P 1'
_symmetry_Int_Tables_number 1
_cell_length_a 4.6545
_cell_length_b 4.4564
_cell_length_c 4.6545
_cell_angle_alpha 90.00
_cell_angle_beta 90.00
_cell_angle_gamma 90.00
loop_
_symmetry_equiv_pos_as_xyz
'x,y,z'
loop_
_atom_site_label
_atom_site_type_symbol
_atom_site_fract_x
_atom_site_fract_y
_atom_site_fract_z
_atom_site_occupancy
Cr1 Cr 0.0000 0.0000 0.5000 1
Cr2 Cr 0.5000 0.0000 0.0000 1
Ca1 Ca 0.5000 0.5000 0.5000 1
Co1 Co 0.0000 0.0000 0.0000 1
Tc1 Tc 0.0000 0.5000 0.0000 1
```

---

7.
Here is a relaxed TlIr2F crystal from the Alexandria database. Energies are from PBE-GGA.

Results
energy relative to the lowest polymorph listed for this composition = 0 meV/atom
formation energy from raw total energies = 3.3 kcal/mol of atoms
calculated volume = 140.7 Å³/cell
DOS(E_F) = 3.39 states/eV/f.u.

The structure in CIF format:
```
data_TlIr2F
_symmetry_space_group_name_H-M 'P 1'
_symmetry_Int_Tables_number 1
_cell_length_a 3.6007
_cell_length_b 3.6007
_cell_length_c 11.1449
_cell_angle_alpha 80.70
_cell_angle_beta 80.70
_cell_angle_gamma 90.00
loop_
_symmetry_equiv_pos_as_xyz
'x,y,z'
loop_
_atom_site_label
_atom_site_type_symbol
_atom_site_fract_x
_atom_site_fract_y
_atom_site_fract_z
_atom_site_occupancy
Tl1 Tl 0.0000 0.0000 0.0000 1
Tl2 Tl 0.7500 0.2500 0.5000 1
Ir1 Ir 0.6225 0.1250 0.2500 1
Ir2 Ir 0.1275 0.6250 0.2500 1
Ir3 Ir 0.3750 0.3775 0.7500 1
Ir4 Ir 0.8750 0.8725 0.7500 1
F1 F 0.5000 0.5000 0.0000 1
F2 F 0.2500 0.7500 0.5000 1
```

---

8.
Here is a relaxed TlIr2Cl crystal from the Alexandria database. Energies are from PBE-GGA.

Results
energy relative to the lowest polymorph listed for this composition = 184 meV/atom
formation energy from raw total energies = 11.3 kcal/mol of atoms
calculated volume = 79.2 Å³/cell
DOS(E_F) = 4.66 states/eV/f.u.

The structure in CIF format:
```
data_TlIr2Cl
_symmetry_space_group_name_H-M 'P 1'
_symmetry_Int_Tables_number 1
_cell_length_a 10.1048
_cell_length_b 10.1048
_cell_length_c 10.1048
_cell_angle_alpha 17.25
_cell_angle_beta 17.25
_cell_angle_gamma 17.25
loop_
_symmetry_equiv_pos_as_xyz
'x,y,z'
loop_
_atom_site_label
_atom_site_type_symbol
_atom_site_fract_x
_atom_site_fract_y
_atom_site_fract_z
_atom_site_occupancy
Tl1 Tl 0.4885 0.4885 0.4885 1
Ir1 Ir 0.0036 0.0036 0.0036 1
Ir2 Ir 0.7352 0.7352 0.7352 1
Cl1 Cl 0.2727 0.2727 0.2727 1
```

---

9.
Here is a relaxed BaMnCo2 crystal from the Alexandria database. Energies are from PBE-GGA.

Results
energy relative to the lowest polymorph listed for this composition = 472 meV/atom
calculated volume = 79.6 Å³/cell
DFT formation energy = 0.779 eV per atom
DOS(E_F) = 3.67 states/eV/f.u.

The structure in CIF format:
```
data_BaMnCo2
_symmetry_space_group_name_H-M 'P 1'
_symmetry_Int_Tables_number 1
_cell_length_a 5.7612
_cell_length_b 5.7612
_cell_length_c 5.7612
_cell_angle_alpha 148.44
_cell_angle_beta 126.50
_cell_angle_gamma 63.46
loop_
_symmetry_equiv_pos_as_xyz
'x,y,z'
loop_
_atom_site_label
_atom_site_type_symbol
_atom_site_fract_x
_atom_site_fract_y
_atom_site_fract_z
_atom_site_occupancy
Ba1 Ba 0.2399 0.7399 0.5000 1
Co1 Co 0.9450 0.9450 0.0000 1
Co2 Co 0.7693 0.2693 0.5000 1
Mn1 Mn 0.5458 0.5458 0.0000 1
```

---

> What is the formula in the third record?

MgRe2P

---

> Look up the DOS(E_F) of the first one.

2.44 states/eV/f.u.

---

> The highest calculated volume belongs to which entry?

Mg2Be3P3H13O19

---

> Look up the DOS(E_F) of the ninth one.

3.67 states/eV/f.u.